Material: Ac12Ge3O5
Method: DFT, PBE-GGA
State: optimized geometry

```
data_Ac12Ge3O5
_chemical_formula_sum 'Ac96 Ge24 O40'
_space_group_name_H-M_alt 'I a -3 d'
_space_group_IT_number 230
_space_group_name_Hall '-I 4bd 2c 3'
_cell_length_a 16.940
_cell_length_b 16.940
_cell_length_c 16.940
_cell_angle_alpha 90.00
_cell_angle_beta 90.00
_cell_angle_gamma 90.00
loop_
_atom_site_label
_atom_site_fract_x
_atom_site_fract_y
_atom_site_fract_z
_atom_site_occupancy
Ac1 0.036 0.054 0.650 1
Ge1 0.000 0.250 0.125 1
O1 0.000 0.000 0.000 1
O2 0.000 0.250 0.375 1
```

## Properties
For the density of states at the Fermi level, the calculation gives 0.97 states/eV/atom. The formation energy from raw total energies comes out at -1.498 eV/atom.

=====

Material: PmTlSn
Method: DFT, PBE-GGA
State: optimized geometry

```
data_PmTlSn
_chemical_formula_sum 'Pm4 Tl4 Sn4'
_space_group_name_H-M_alt 'C m c m'
_space_group_IT_number 63
_space_group_name_Hall '-C 2c 2'
_cell_length_a 4.763
_cell_length_b 16.712
_cell_length_c 4.325
_cell_angle_alpha 90.00
_cell_angle_beta 90.00
_cell_angle_gamma 90.00
loop_
_atom_site_label
_atom_site_fract_x
_atom_site_fract_y
_atom_site_fract_z
_atom_site_occupancy
Pm1 0.000 0.091 0.250 1
Tl1 0.000 0.262 0.750 1
Sn1 0.000 0.435 0.250 1
```

## Properties
For the density of states at the Fermi level, the calculation gives 0.59 states/eV/atom. For the polymorph energy (0 for the lowest one), the calculation gives 0.000 eV per atom. Its energy of formation from the pure elements is -472 meV/atom.

=====

Material: Cd5InHg5
Method: DFT, PBE-GGA
State: optimized geometry

```
data_Cd5InHg5
_chemical_formula_sum 'Cd10 In2 Hg10'
_space_group_name_H-M_alt 'C 1 2/m 1'
_space_group_IT_number 12
_space_group_name_Hall '-C 2y'
_cell_length_a 12.995
_cell_length_b 5.692
_cell_length_c 8.170
_cell_angle_alpha 90.00
_cell_angle_beta 108.87
_cell_angle_gamma 90.00
loop_
_atom_site_label
_atom_site_fract_x
_atom_site_fract_y
_atom_site_fract_z
_atom_site_occupancy
Cd1 0.000 0.000 0.000 1
Cd2 0.086 0.500 0.905 1
Cd3 0.159 0.500 0.317 1
In1 0.000 0.000 0.500 1
Hg1 0.000 0.500 0.500 1
Hg2 0.178 0.000 0.858 1
Hg3 0.227 0.000 0.292 1
```

## Properties
For the density of states at the Fermi level, the calculation gives 0.34 states/eV/atom. Its energy of formation from the pure elements is 42 meV/atom.

=====

Material: YCoSn2Hg
Method: DFT, PBE-GGA
State: optimized geometry

```
data_YCoSn2Hg
_chemical_formula_sum 'Y1 Co1 Sn2 Hg1'
_space_group_name_H-M_alt 'P 4/m m m'
_space_group_IT_number 123
_space_group_name_Hall '-P 4 2'
_cell_length_a 4.887
_cell_length_b 4.887
_cell_length_c 5.142
_cell_angle_alpha 90.00
_cell_angle_beta 90.00
_cell_angle_gamma 90.00
loop_
_atom_site_label
_atom_site_fract_x
_atom_site_fract_y
_atom_site_fract_z
_atom_site_occupancy
Y1 0.000 0.000 0.000 1
Co1 0.000 0.000 0.500 1
Sn1 0.000 0.500 0.500 1
Hg1 0.500 0.500 0.000 1
```

## Properties
For the density of states at the Fermi level, the calculation gives 0.58 states/eV/atom. Its energy of formation from the pure elements is -207 meV/atom.

=====

Material: U2InSn4
Method: DFT, PBE-GGA
State: optimized geometry

```
data_U2InSn4
_chemical_formula_sum 'U2 In1 Sn4'
_space_group_name_H-M_alt 'P -4 m 2'
_space_group_IT_number 115
_space_group_name_Hall 'P -4 -2'
_cell_length_a 4.422
_cell_length_b 4.422
_cell_length_c 9.815
_cell_angle_alpha 90.00
_cell_angle_beta 90.00
_cell_angle_gamma 90.00
loop_
_atom_site_label
_atom_site_fract_x
_atom_site_fract_y
_atom_site_fract_z
_atom_site_occupancy
U1 0.000 0.500 0.249 1
In1 0.000 0.000 0.500 1
Sn1 0.000 0.000 0.000 1
Sn2 0.000 0.500 0.703 1
Sn3 0.500 0.500 0.000 1
```

## Properties
For the density of states at the Fermi level, the calculation gives 2.02 states/eV/atom. Its energy of formation from the pure elements is 102 meV/atom.

=====

Material: Ac6Mg2Co
Method: DFT, PBE-GGA
State: optimized geometry

```
data_Ac6Mg2Co
_chemical_formula_sum 'Ac12 Mg4 Co2'
_space_group_name_H-M_alt 'P 4/m n c'
_space_group_IT_number 128
_space_group_name_Hall '-P 4 2n'
_cell_length_a 7.866
_cell_length_b 7.866
_cell_length_c 11.113
_cell_angle_alpha 90.00
_cell_angle_beta 90.00
_cell_angle_gamma 90.00
loop_
_atom_site_label
_atom_site_fract_x
_atom_site_fract_y
_atom_site_fract_z
_atom_site_occupancy
Ac1 0.000 0.000 0.249 1
Ac2 0.249 0.250 0.000 1
Mg1 0.000 0.500 0.250 1
Co1 0.000 0.000 0.500 1
```

## Properties
For the density of states at the Fermi level, the calculation gives 1.63 states/eV/atom. Its energy of formation from the pure elements is -1 meV/atom.

=====

Material: LiP4N7
Method: DFT, PBE-GGA
State: optimized geometry

```
data_LiP4N7
_chemical_formula_sum 'Li2 P8 N14'
_space_group_name_H-M_alt 'P m n 21'
_space_group_IT_number 31
_space_group_name_Hall 'P 2ac -2'
_cell_length_a 12.112
_cell_length_b 4.948
_cell_length_c 4.681
_cell_angle_alpha 90.00
_cell_angle_beta 90.00
_cell_angle_gamma 90.00
loop_
_atom_site_label
_atom_site_fract_x
_atom_site_fract_y
_atom_site_fract_z
_atom_site_occupancy
Li1 0.000 0.163 0.000 1
P1 0.119 0.667 0.237 1
P2 0.250 0.177 0.207 1
N1 0.000 0.764 0.125 1
N2 0.137 0.737 0.567 1
N3 0.140 0.353 0.156 1
N4 0.217 0.869 0.064 1
```

## Properties
For the density of states at the Fermi level, the calculation gives 0.00 states/eV/atom. The formation energy from raw total energies comes out at -0.463 eV/atom.

=====

Material: OsPdF2
Method: DFT, PBE-GGA
State: optimized geometry

```
data_OsPdF2
_chemical_formula_sum 'Os4 Pd4 F8'
_space_group_name_H-M_alt 'I -4 2 d'
_space_group_IT_number 122
_space_group_name_Hall 'I -4 2bw'
_cell_length_a 7.079
_cell_length_b 7.079
_cell_length_c 4.944
_cell_angle_alpha 90.00
_cell_angle_beta 90.00
_cell_angle_gamma 90.00
loop_
_atom_site_label
_atom_site_fract_x
_atom_site_fract_y
_atom_site_fract_z
_atom_site_occupancy
Os1 0.000 0.000 0.000 1
Pd1 0.000 0.000 0.500 1
F1 0.141 0.250 0.125 1
```

## Properties
For the density of states at the Fermi level, the calculation gives 0.83 states/eV/atom. The formation energy from raw total energies comes out at 0.182 eV/atom. For the polymorph energy (0 for the lowest one), the calculation gives 0.720 eV per atom.

=====

Material: Ag12As3S5
Method: DFT, PBE-GGA
State: optimized geometry

```
data_Ag12As3S5
_chemical_formula_sum 'Ag96 As24 S40'
_space_group_name_H-M_alt 'I a -3 d'
_space_group_IT_number 230
_space_group_name_Hall '-I 4bd 2c 3'
_cell_length_a 15.088
_cell_length_b 15.088
_cell_length_c 15.088
_cell_angle_alpha 90.00
_cell_angle_beta 90.00
_cell_angle_gamma 90.00
loop_
_atom_site_label
_atom_site_fract_x
_atom_site_fract_y
_atom_site_fract_z
_atom_site_occupancy
Ag1 0.025 0.080 0.650 1
As1 0.000 0.250 0.125 1
S1 0.000 0.000 0.000 1
S2 0.000 0.250 0.375 1
```

## Properties
For the density of states at the Fermi level, the calculation gives 0.57 states/eV/atom. The formation energy from raw total energies comes out at 0.127 eV/atom.

=====

Material: Cr2AsIr
Method: DFT, PBE-GGA
State: optimized geometry

```
data_Cr2AsIr
_chemical_formula_sum 'Cr2 As1 Ir1'
_space_group_name_H-M_alt 'P m m 2'
_space_group_IT_number 25
_space_group_name_Hall 'P 2 -2'
_cell_length_a 2.839
_cell_length_b 4.327
_cell_length_c 4.476
_cell_angle_alpha 90.00
_cell_angle_beta 90.00
_cell_angle_gamma 90.00
loop_
_atom_site_label
_atom_site_fract_x
_atom_site_fract_y
_atom_site_fract_z
_atom_site_occupancy
Cr1 0.000 0.000 0.000 1
Cr2 0.000 0.500 0.280 1
As1 0.500 0.000 0.466 1
Ir1 0.500 0.500 0.786 1
```

## Properties
For the density of states at the Fermi level, the calculation gives 0.67 states/eV/atom. Its energy of formation from the pure elements is -22 meV/atom.

=====

Material: Ac3Ga3Si2
Method: DFT, PBE-GGA
State: optimized geometry

```
data_Ac3Ga3Si2
_chemical_formula_sum 'Ac12 Ga12 Si8'
_space_group_name_H-M_alt 'C m c m'
_space_group_IT_number 63
_space_group_name_Hall '-C 2c 2'
_cell_length_a 4.370
_cell_length_b 12.009
_cell_length_c 15.630
_cell_angle_alpha 90.00
_cell_angle_beta 90.00
_cell_angle_gamma 90.00
loop_
_atom_site_label
_atom_site_fract_x
_atom_site_fract_y
_atom_site_fract_z
_atom_site_occupancy
Ac1 0.000 0.051 0.106 1
Ac2 0.000 0.339 0.250 1
Ga1 0.000 0.343 0.037 1
Ga2 0.000 0.378 0.750 1
Si1 0.000 0.237 0.611 1
```

## Properties
For the density of states at the Fermi level, the calculation gives 0.45 states/eV/atom. The formation energy from raw total energies comes out at -0.505 eV/atom. For the polymorph energy (0 for the lowest one), the calculation gives 0.076 eV per atom.

=====

Material: P3Ir2Au
Method: DFT, PBE-GGA
State: optimized geometry

```
data_P3Ir2Au
_chemical_formula_sum 'P6 Ir4 Au2'
_space_group_name_H-M_alt 'C 1 m 1'
_space_group_IT_number 8
_space_group_name_Hall 'C -2y'
_cell_length_a 13.208
_cell_length_b 3.558
_cell_length_c 4.248
_cell_angle_alpha 90.00
_cell_angle_beta 93.26
_cell_angle_gamma 90.00
loop_
_atom_site_label
_atom_site_fract_x
_atom_site_fract_y
_atom_site_fract_z
_atom_site_occupancy
P1 0.000 0.000 0.000 1
P2 0.019 0.500 0.631 1
P3 0.306 0.000 0.658 1
Ir1 0.198 0.500 0.683 1
Ir2 0.400 0.000 0.186 1
Au1 0.178 0.000 0.172 1
```

## Properties
For the density of states at the Fermi level, the calculation gives 0.47 states/eV/atom. For the polymorph energy (0 for the lowest one), the calculation gives 0.210 eV per atom. Its energy of formation from the pure elements is -54 meV/atom.